# 1
Material: TaP2Pb
Method: DFT, GGA-PBE
State: relaxed

abc: 4.709 4.709 3.313
angles: 90.00 90.00 90.00
Positions (direct):
Ta (0.000, 0.000, 0.000)
P (0.000, 0.500, 0.500)
P (0.500, 0.000, 0.500)
Pb (0.500, 0.500, 0.000)


# 2
Material: LaYMg2
Method: DFT, GGA-PBE
State: relaxed

abc: 3.499 3.499 33.895
angles: 90.00 90.00 120.00
Positions (direct):
La (0.000, 0.000, 0.000)
La (0.333, 0.667, 0.667)
La (0.667, 0.333, 0.333)
Y (0.000, 0.000, 0.169)
Y (0.333, 0.667, 0.836)
Y (0.667, 0.333, 0.502)
Mg (0.000, 0.000, 0.582)
Mg (0.000, 0.000, 0.754)
Mg (0.333, 0.667, 0.248)
Mg (0.333, 0.667, 0.421)
Mg (0.667, 0.333, 0.088)
Mg (0.667, 0.333, 0.915)


# 3
Material: Rb5Cd6
Method: DFT, GGA-PBE
State: relaxed

abc: 8.641 8.641 8.588
angles: 100.32 100.32 118.58
Positions (direct):
Rb (0.000, 0.000, 0.000)
Rb (0.162, 0.838, 0.500)
Rb (0.317, 0.683, 0.000)
Rb (0.683, 0.317, 0.000)
Rb (0.838, 0.162, 0.500)
Cd (0.236, 0.448, 0.342)
Cd (0.356, 0.356, 0.668)
Cd (0.448, 0.236, 0.342)
Cd (0.552, 0.764, 0.658)
Cd (0.644, 0.644, 0.332)
Cd (0.764, 0.552, 0.658)


# 4
Material: Zr2MnPt
Method: DFT, GGA-PBE
State: relaxed

- Energy relative to the lowest polymorph listed for this composition: 169 meV per atom

abc: 3.353 3.353 6.709
angles: 90.00 90.00 90.00
Positions (direct):
Zr (0.000, 0.000, 0.000)
Zr (0.500, 0.500, 0.305)
Mn (0.000, 0.000, 0.552)
Pt (0.500, 0.500, 0.770)


# 5
Material: SrCaMo2
Method: DFT, GGA-PBE
State: relaxed

- Energy relative to the lowest polymorph listed for this composition: 527 meV per atom

abc: 4.087 4.087 6.847
angles: 90.00 90.00 90.00
Positions (direct):
Sr (0.000, 0.000, 0.000)
Ca (0.000, 0.000, 0.500)
Mo (0.500, 0.500, 0.342)
Mo (0.500, 0.500, 0.658)


# 6
Material: KRbHg10
Method: DFT, GGA-PBE
State: relaxed

abc: 5.463 6.316 11.072
angles: 90.00 90.00 90.00
Positions (direct):
K (0.000, 0.000, 0.000)
Rb (0.000, 0.500, 0.500)
Hg (0.000, 0.000, 0.329)
Hg (0.000, 0.000, 0.671)
Hg (0.000, 0.500, 0.163)
Hg (0.000, 0.500, 0.837)
Hg (0.500, 0.000, 0.500)
Hg (0.500, 0.249, 0.248)
Hg (0.500, 0.249, 0.752)
Hg (0.500, 0.500, 0.000)
Hg (0.500, 0.751, 0.248)
Hg (0.500, 0.751, 0.752)


Number 1: energy of formation 0.50 eV/atom. Number 2: energy of formation 0.04 eV/atom. Number 3: energy of formation -0.01 eV/atom. Number 4: energy of formation -0.38 eV/atom. Number 5: energy of formation 0.99 eV/atom. Number 6: energy of formation -0.16 eV/atom.